# 1
The following is a PBE calculation of an optimized crystal structure of Li3Pd4Pt, from the Alexandria database.

abc: 6.581 5.217 6.583
angles: 74.69 137.66 126.42
Atoms (fractional coordinates):
Pd: 0.258 0.382 0.385
Pd: 0.003 0.618 0.877
Pd: 0.031 0.743 0.283
Pd: 0.540 0.257 0.288
Li: 0.745 0.876 0.370
Li: 0.493 0.124 0.870
Pt: 0.285 0.500 0.784
Li: 0.795 0.000 0.795

Properties
Electronic total energy ... -4.424 eV/atom
Space-group type ... P1 (1)
ΔH_f (0 K) ... -2.84 eV/f.u.

# 2
The following is a PBE calculation of an optimized crystal structure of Li3Pd4Pt2, from the Alexandria database.

abc: 9.057 4.465 6.886
angles: 108.92 90.50 90.00
Atoms (fractional coordinates):
Pd: 0.357 0.972 0.445
Li: 0.250 0.749 0.000
Li: 0.294 0.366 0.234
Pt: 0.931 0.093 0.684
Pd: 0.643 0.028 0.555
Li: 0.206 0.132 0.766
Pd: 0.857 0.473 0.445
Pt: 0.069 0.907 0.316
Pd: 0.468 0.202 0.904
Li: 0.794 0.868 0.234
Pt: 0.569 0.408 0.316
Li: 0.750 0.251 0.000
Pd: 0.032 0.298 0.096
Pd: 0.143 0.527 0.555
Pd: 0.532 0.798 0.096
Pt: 0.431 0.592 0.684
Pd: 0.968 0.702 0.904
Li: 0.706 0.634 0.766

Properties
Electronic total energy ... -4.589 eV/atom
Space-group type ... C2/c (15)
ΔH_f (0 K) ... -2.71 eV/f.u.

# 3
The following is a PBE calculation of an optimized crystal structure of LiPd2Pt8, from the Alexandria database.

abc: 3.848 7.827 7.284
angles: 122.50 105.32 90.00
Atoms (fractional coordinates):
Li: 0.500 0.000 0.000
Pt: 0.335 0.586 0.671
Pt: 0.665 0.414 0.329
Pt: 0.164 0.164 0.328
Pt: 0.000 0.244 0.000
Pt: 0.335 0.084 0.671
Pd: 0.152 0.652 0.305
Pd: 0.848 0.348 0.695
Pt: 0.000 0.756 0.000
Pt: 0.836 0.836 0.672
Pt: 0.665 0.916 0.329

Properties
Electronic total energy ... -5.599 eV/atom
Space-group type ... Immm (71)
ΔH_f (0 K) ... -0.97 eV/f.u.

# 4
The following is a PBE calculation of an optimized crystal structure of Li2PuPdPt, from the Alexandria database.

abc: 5.336 5.346 7.006
angles: 112.43 90.00 90.00
Atoms (fractional coordinates):
Li: 0.500 0.257 0.000
Pd: 0.250 0.861 0.721
Pt: 0.750 0.352 0.705
Li: 0.000 0.743 0.000
Pd: 0.750 0.139 0.279
Pu: 0.750 0.752 0.503
Pu: 0.250 0.248 0.497
Li: 0.500 0.743 0.000
Li: 0.000 0.257 0.000
Pt: 0.250 0.648 0.295

Properties
Electronic total energy ... -6.335 eV/atom
Space-group type ... Cmcm (63)
ΔH_f (0 K) ... -2.28 eV/f.u.

# 5
The following is a PBE calculation of an optimized crystal structure of RbLi2PdPt, from the Alexandria database.

abc: 4.633 4.633 5.261
angles: 90.00 90.00 90.00
Atoms (fractional coordinates):
Li: 0.500 0.000 0.000
Li: 0.000 0.500 0.000
Pd: 0.500 0.500 0.500
Rb: 0.000 0.000 0.000
Pt: 0.000 0.000 0.500

Properties
Electronic total energy ... -2.088 eV/atom
Space-group type ... P4/mmm (123)
ΔH_f (0 K) ... 5.59 eV/f.u.

# 6
The following is a PBE calculation of an optimized crystal structure of LiRePdPt2, from the Alexandria database.

abc: 4.262 4.125 4.262
angles: 90.00 90.00 90.00
Atoms (fractional coordinates):
Pd: 0.000 0.500 0.000
Li: 0.000 0.000 0.000
Pt: 0.500 0.000 0.000
Pt: 0.000 0.000 0.500
Re: 0.500 0.500 0.500

Properties
Electronic total energy ... -5.613 eV/atom
Space-group type ... P4/mmm (123)
ΔH_f (0 K) ... 3.57 eV/f.u.